1.
Computed, not measured: a relaxed Co3GeAs crystal at the GGA-PBE level of DFT.

Cell lengths 3.7873, 5.7714, 6.9630 Å; angles 96.60, 90.05, 109.10 degrees
Each line ends with the local moment (μB).
Fractional coordinates of all 10 atoms:
As  0.8129  0.6244  0.1422  -0.01
As  0.1871  0.3756  0.8578  -0.01
Co  0.6062  0.2132  0.9937  0.06
Co  0.9785  0.9570  0.8229  0.20
Co  0.1640  0.3276  0.5292  0.53
Co  0.3938  0.7868  0.0063  0.06
Co  0.0215  0.0430  0.1771  0.20
Co  0.8360  0.6724  0.4708  0.53
Ge  0.6075  0.2147  0.3484  -0.02
Ge  0.3925  0.7853  0.6516  -0.02

As for the total magnetization: 0.7 μB per formula unit. The value obtained for the density of states at the Fermi level is 11.45 states/eV/cell. For the mass density, the calculation gives 7.55 Mg/m³. The crystal system is monoclinic. The value obtained for the energy is -60.40 eV per cell. As for the formation energy from the elements: 0.385 eV per formula unit. The space-group type is No. 12.

=====

2.
Computed, not measured: a relaxed Co2Ge2As crystal at the GGA-PBE level of DFT.

Cell lengths 7.0593, 7.0593, 2.7637 Å; angles 90.00, 90.00, 90.00 degrees
Fractional coordinates of all 10 atoms:
Ge  0.3511  0.1489  0.5000
Ge  0.6489  0.8511  0.5000
Ge  0.1489  0.6489  0.5000
Ge  0.8511  0.3511  0.5000
Co  0.8544  0.6456  0.0000
Co  0.3544  0.8544  0.0000
Co  0.6456  0.1456  0.0000
Co  0.1456  0.3544  0.0000
As  0.0000  0.0000  0.0000
As  0.5000  0.5000  0.0000

As for the total magnetization: 0.0 μB per formula unit. The value obtained for the density of states at the Fermi level is 7.79 states/eV/cell. For the mass density, the calculation gives 8.15 Mg/m³. The crystal system is tetragonal. The value obtained for the energy is -56.03 eV per cell. As for the formation energy from the elements: 0.081 eV per formula unit. The space-group type is No. 127.

=====

3.
Computed, not measured: a relaxed Co3GeAs crystal at the GGA-PBE level of DFT.

Cell lengths 4.3405, 4.3405, 4.3405 Å; angles 90.00, 90.00, 90.00 degrees
Each line ends with the local moment (μB).
Fractional coordinates of all 5 atoms:
As  0.0000  0.0000  0.0000  -0.02
Co  0.0000  0.0000  0.5000  1.06
Co  0.5000  0.0000  0.0000  1.29
Co  0.0000  0.5000  0.0000  1.14
Ge  0.5000  0.5000  0.5000  -0.01

As for the total magnetization: 3.4 μB per formula unit. The value obtained for the density of states at the Fermi level is 7.41 states/eV/cell. For the mass density, the calculation gives 6.59 Mg/m³. The crystal system is cubic. The value obtained for the energy is -27.26 eV per cell. As for the formation energy from the elements: 3.325 eV per formula unit. The space-group type is No. 221.

=====

4.
Computed, not measured: a relaxed CoNi7Ge2As2 crystal at the GGA-PBE level of DFT.

Cell lengths 3.5005, 3.5005, 14.1562 Å; angles 80.06, 80.06, 90.46 degrees
Each line ends with the local moment (μB).
Fractional coordinates of all 12 atoms:
Ni  0.5911  0.0912  0.8707  0.30
Ni  0.2165  0.2165  0.4195  0.00
Ni  0.5000  0.5000  0.0000  0.55
Ni  0.9088  0.4089  0.1293  0.30
Ni  0.7835  0.7835  0.5805  0.00
Ni  0.0912  0.5911  0.8707  0.30
Ni  0.4089  0.9088  0.1293  0.30
Ge  0.3250  0.3250  0.2480  -0.03
Ge  0.6750  0.6750  0.7520  -0.03
As  0.7232  0.7232  0.4166  0.00
As  0.2768  0.2768  0.5834  0.00
Co  0.0000  0.0000  0.0000  1.74

As for the total magnetization: 3.2 μB per formula unit. The value obtained for the density of states at the Fermi level is 10.50 states/eV/cell. For the mass density, the calculation gives 7.55 Mg/m³. The crystal system is monoclinic. The value obtained for the energy is -66.61 eV per cell. As for the formation energy from the elements: -0.505 eV per formula unit. The space-group type is No. 12.

=====

5.
Computed, not measured: a relaxed Np2Co4GeAs3 crystal at the GGA-PBE level of DFT.

Cell lengths 4.0599, 4.0599, 9.4862 Å; angles 90.00, 90.00, 90.00 degrees
Each line ends with the local moment (μB).
Fractional coordinates of all 10 atoms:
Co  0.5000  0.5000  0.0000  0.51
Co  0.0000  0.5000  0.3758  -0.25
Co  0.5000  0.0000  0.6242  -0.25
Co  0.0000  0.0000  0.0000  0.55
As  0.0000  0.0000  0.5000  -0.02
As  0.0000  0.5000  0.1327  -0.03
As  0.5000  0.0000  0.8673  -0.03
Ge  0.5000  0.5000  0.5000  -0.01
Np  0.0000  0.5000  0.7513  3.47
Np  0.5000  0.0000  0.2487  3.47

As for the total magnetization: 7.7 μB per formula unit. The value obtained for the density of states at the Fermi level is 21.69 states/eV/cell. For the mass density, the calculation gives 10.70 Mg/m³. The crystal system is tetragonal. The value obtained for the energy is -77.06 eV per cell. As for the formation energy from the elements: -4.190 eV per formula unit. The space-group type is No. 115.

=====

6.
Computed, not measured: a relaxed NpCo4GeAs2 crystal at the GGA-PBE level of DFT.

Cell lengths 3.8628, 3.8628, 8.0218 Å; angles 90.00, 90.00, 90.00 degrees
Each line ends with the local moment (μB).
Fractional coordinates of all 8 atoms:
As  0.5000  0.5000  0.6773  -0.02
As  0.5000  0.5000  0.3227  -0.02
Co  0.5000  0.0000  0.1698  0.10
Co  0.5000  0.0000  0.8302  0.10
Co  0.0000  0.5000  0.1698  0.10
Co  0.0000  0.5000  0.8302  0.10
Ge  0.0000  0.0000  0.0000  0.00
Np  0.0000  0.0000  0.5000  3.88

As for the total magnetization: 4.6 μB per formula unit. The value obtained for the density of states at the Fermi level is 11.68 states/eV/cell. For the mass density, the calculation gives 9.65 Mg/m³. The crystal system is tetragonal. The value obtained for the energy is -57.41 eV per cell. As for the formation energy from the elements: -2.126 eV per formula unit. The space-group type is No. 123.

=====

7.
Computed, not measured: a relaxed Np2Co4Ge3As crystal at the GGA-PBE level of DFT.

Cell lengths 4.0886, 4.0886, 9.4489 Å; angles 90.00, 90.00, 90.00 degrees
Each line ends with the local moment (μB).
Fractional coordinates of all 10 atoms:
Co  0.5000  0.5000  0.0000  0.27
Co  0.0000  0.5000  0.3763  -0.24
Co  0.5000  0.0000  0.6237  -0.24
Co  0.0000  0.0000  0.0000  0.24
Ge  0.0000  0.5000  0.1295  -0.03
Ge  0.0000  0.0000  0.5000  -0.01
Ge  0.5000  0.0000  0.8705  -0.03
Np  0.0000  0.5000  0.7501  3.56
Np  0.5000  0.0000  0.2499  3.56
As  0.5000  0.5000  0.5000  -0.02

As for the total magnetization: 7.5 μB per formula unit. The value obtained for the density of states at the Fermi level is 22.61 states/eV/cell. For the mass density, the calculation gives 10.54 Mg/m³. The crystal system is tetragonal. The value obtained for the energy is -75.85 eV per cell. As for the formation energy from the elements: -3.040 eV per formula unit. The space-group type is No. 115.